[1]
Material: KMgSc2Te4
Method: DFT, PBE
State: relaxed

Energy relative to the elements, uncorrected (meV/atom): -1039
Total energy (eV/atom): -4.529
Magnetic moment (Bohr magnetons per cell): 0.43

Cell lengths 4.3286, 7.6941, 15.3854 Å; angles 90.00, 90.00, 106.34 degrees
Last column: nearest neighbours and their distance in Å.
Sites, in units of the cell vectors:
K 0.1268 0.2537 0.7500  6 Te 3.39-3.55
K 0.8732 0.7463 0.2500  6 Te 3.39-3.55
Sc 0.3771 0.7542 0.9435  6 Te 2.96-3.17
Sc 0.6229 0.2458 0.4435  6 Te 2.96-3.17
Sc 0.3771 0.7542 0.5565  6 Te 2.96-3.17
Sc 0.6229 0.2458 0.0565  6 Te 2.96-3.17
Te 0.0000 0.0000 0.0000  4 Sc 2.96
Te 0.5498 0.0996 0.2500  2 Mg 2.71
Te 0.7389 0.4779 0.8981  1 Mg 2.72, 1 Sc 2.98
Te 0.2611 0.5221 0.1019  1 Mg 2.72, 1 Sc 2.98
Te 0.4502 0.9004 0.7500  2 Mg 2.71
Te 0.0000 0.0000 0.5000  4 Sc 2.96
Te 0.2611 0.5221 0.3981  1 Mg 2.72, 1 Sc 2.98
Te 0.7389 0.4779 0.6019  1 Mg 2.72, 1 Sc 2.98
Mg 0.8394 0.6788 0.7500  4 Te 2.71-2.72
Mg 0.1606 0.3212 0.2500  4 Te 2.71-2.72

[2]
Material: CaNiSb
Method: DFT, PBE
State: relaxed

Energy relative to the elements, uncorrected (meV/atom): -152
Total energy (eV/atom): -4.120
Magnetic moment (Bohr magnetons per cell): 0.00

Cell lengths 5.1515, 5.1515, 5.1515 Å; angles 138.84, 130.24, 66.50 degrees
Last column: nearest neighbours and their distance in Å.
Sites, in units of the cell vectors:
Sb 0.3467 0.3467 0.0000  1 Ni 2.58
Ni 0.6463 0.6463 0.0000  1 Sb 2.58
Ca 0.0070 0.0070 0.0000  5 Sb 2.93-3.14, 5 Ni 3.07-3.11

[3]
Material: Pm4NdSm2Y2
Method: DFT, PBE
State: relaxed

Total energy (eV/atom): -5.112
Formation enthalpy at 0 K (eV/f.u.): 0.1
Magnetic moment (Bohr magnetons per cell): 0.00

Cell lengths 5.1383, 8.1265, 8.1101 Å; angles 107.53, 90.00, 108.43 degrees
Last column: nearest neighbours and their distance in Å.
Sites, in units of the cell vectors:
Sm 0.8889 0.7778 0.3337  3 Y 3.62-3.63, 1 Sm 3.63, 7 Pm 3.63, 1 Nd 3.63
Sm 0.1111 0.2222 0.6663  3 Y 3.62-3.63, 1 Sm 3.63, 7 Pm 3.63, 1 Nd 3.63
Pm 0.2224 0.4448 0.3329  3 Y 3.62-3.63, 1 Nd 3.63, 5 Pm 3.63-3.64, 3 Sm 3.63
Pm 0.7776 0.5552 0.6671  3 Y 3.62-3.63, 1 Nd 3.63, 5 Pm 3.63-3.64, 3 Sm 3.63
Pm 0.5554 0.1108 0.3333  4 Sm 3.63, 4 Pm 3.63-3.64, 2 Nd 3.63, 2 Y 3.63-3.64
Pm 0.4446 0.8892 0.6667  4 Sm 3.63, 4 Pm 3.63-3.64, 2 Nd 3.63, 2 Y 3.63-3.64
Y 0.3326 0.6653 0.0003  5 Pm 3.62-3.64, 2 Y 3.62, 3 Sm 3.62-3.63, 2 Nd 3.64
Y 0.6674 0.3347 0.9997  5 Pm 3.62-3.64, 2 Y 3.62, 3 Sm 3.62-3.63, 2 Nd 3.64
Nd 0.0000 0.0000 0.0000  6 Pm 3.63, 2 Sm 3.63, 4 Y 3.64

[4]
Material: SiNi2As
Method: DFT, PBE
State: relaxed

Energy relative to the elements, uncorrected (meV/atom): -351
Total energy (eV/atom): -5.760
Magnetic moment (Bohr magnetons per cell): 0.00

Cell lengths 5.1221, 5.9711, 7.0075 Å; angles 90.00, 89.25, 90.00 degrees
Last column: nearest neighbours and their distance in Å.
Sites, in units of the cell vectors:
Ni 0.0154 0.7887 0.1434  2 Si 2.32-2.41, 4 As 2.38-2.55, 2 Ni 2.60
Ni 0.4846 0.2887 0.8566  2 Si 2.32-2.41, 4 As 2.38-2.55, 2 Ni 2.60
Ni 0.5154 0.7113 0.1434  2 Si 2.32-2.41, 4 As 2.38-2.55, 2 Ni 2.60
Ni 0.9846 0.2113 0.8566  2 Si 2.32-2.41, 4 As 2.38-2.55, 2 Ni 2.60
Ni 0.4976 0.3019 0.3880  4 Si 2.30-2.45, 2 As 2.45
Ni 0.9976 0.1981 0.3880  4 Si 2.30-2.45, 2 As 2.45
Ni 0.0024 0.8019 0.6120  4 Si 2.30-2.45, 2 As 2.45
Ni 0.5024 0.6981 0.6120  4 Si 2.30-2.45, 2 As 2.45
As 0.7062 0.0850 0.1312  6 Ni 2.38-2.55
As 0.7938 0.5850 0.8688  6 Ni 2.38-2.55
As 0.2062 0.4150 0.1312  6 Ni 2.38-2.55
As 0.2938 0.9150 0.8688  6 Ni 2.38-2.55
Si 0.1870 0.4230 0.6189  6 Ni 2.30-2.45
Si 0.8130 0.5770 0.3811  6 Ni 2.30-2.45
Si 0.3130 0.9230 0.3811  6 Ni 2.30-2.45
Si 0.6870 0.0770 0.6189  6 Ni 2.30-2.45

[5]
Material: GeMo
Method: DFT, PBE
State: relaxed

Total energy (eV/atom): -6.547
Formation enthalpy at 0 K (eV/f.u.): 2.4
Magnetic moment (Bohr magnetons per cell): 7.18

Cell lengths 5.7680, 5.7680, 5.7680 Å; angles 90.00, 90.00, 90.00 degrees
Last column: nearest neighbours and their distance in Å.
Sites, in units of the cell vectors:
Ge 0.2500 0.2500 0.2500  4 Mo 2.50
Ge 0.2500 0.7500 0.7500  4 Mo 2.50
Ge 0.7500 0.7500 0.2500  4 Mo 2.50
Ge 0.7500 0.2500 0.7500  4 Mo 2.50
Mo 0.5000 0.5000 0.0000  4 Ge 2.50
Mo 0.0000 0.5000 0.5000  4 Ge 2.50
Mo 0.5000 0.0000 0.5000  4 Ge 2.50
Mo 0.0000 0.0000 0.0000  4 Ge 2.50

[6]
Material: TbPmPbAu
Method: DFT, PBE
State: relaxed

Total energy (eV/atom): -4.705
Formation enthalpy at 0 K (eV/f.u.): -2.5
Magnetic moment (Bohr magnetons per cell): 0.84

Cell lengths 5.3354, 5.3354, 5.3354 Å; angles 60.00, 60.00, 60.00 degrees
Last column: nearest neighbours and their distance in Å.
Sites, in units of the cell vectors:
Au 0.0000 0.0000 0.0000  4 Pm 3.27, 4 Tb 3.27
Pb 0.5000 0.5000 0.5000  4 Tb 3.27, 4 Pm 3.27
Pm 0.2500 0.2500 0.2500  4 Pb 3.27, 4 Au 3.27
Tb 0.7500 0.7500 0.7500  4 Pb 3.27, 4 Au 3.27

[7]
Material: Cs3BiCl6
Method: DFT, PBE
State: relaxed

Energy relative to the elements, uncorrected (meV/atom): -1662
Total energy (eV/atom): -3.414
Energy above the lowest structure with this stoichiometry (meV per atom): 0.0
Magnetic moment (Bohr magnetons per cell): 0.00

Cell lengths 14.2763, 14.2763, 13.6221 Å; angles 80.70, 80.70, 34.53 degrees
Last column: nearest neighbours and their distance in Å.
Sites, in units of the cell vectors:
Cl 0.0920 0.0264 0.8011  1 Bi 2.76
Cl 0.9080 0.9736 0.1989  1 Bi 2.76
Cl 0.3870 0.2707 0.4239  1 Bi 2.75
Cl 0.2151 0.1446 0.4654  1 Bi 2.74
Cl 0.6332 0.8669 0.3155  1 Bi 2.76
Cl 0.7293 0.6130 0.0761  1 Bi 2.75
Cl 0.7849 0.8554 0.5346  1 Bi 2.74
Cl 0.5143 0.3666 0.6806  1 Bi 2.73
Cl 0.6334 0.4857 0.8194  1 Bi 2.73
Cl 0.1500 0.7365 0.4351  1 Bi 2.73
Cl 0.2707 0.3870 0.9239  1 Bi 2.75
Cl 0.8669 0.6332 0.8155  1 Bi 2.76
Cl 0.8500 0.2635 0.5649  1 Bi 2.73
Cl 0.1331 0.3668 0.1845  1 Bi 2.76
Cl 0.4857 0.6334 0.3194  1 Bi 2.73
Cl 0.3668 0.1331 0.6845  1 Bi 2.76
Cl 0.0264 0.0920 0.3011  1 Bi 2.76
Cl 0.3666 0.5143 0.1806  1 Bi 2.73
Cl 0.8554 0.7849 0.0346  1 Bi 2.74
Cl 0.9736 0.9080 0.6989  1 Bi 2.76
Cl 0.6130 0.7293 0.5761  1 Bi 2.75
Cl 0.1446 0.2151 0.9654  1 Bi 2.74
Cl 0.2635 0.8500 0.0649  1 Bi 2.73
Cl 0.7365 0.1500 0.9351  1 Bi 2.73
Cs 0.1731 0.7204 0.9426  7 Cl 3.64-3.83
Cs 0.4697 0.8359 0.8540  7 Cl 3.44-3.75
Cs 0.1641 0.5303 0.6460  7 Cl 3.44-3.75
Cs 0.9746 0.3517 0.6949  7 Cl 3.49-3.65
Cs 0.5303 0.1641 0.1460  7 Cl 3.44-3.75
Cs 0.6483 0.0254 0.8051  7 Cl 3.49-3.65
Cs 0.2796 0.8269 0.5574  7 Cl 3.64-3.83
Cs 0.8269 0.2796 0.0574  7 Cl 3.64-3.83
Cs 0.8359 0.4697 0.3540  7 Cl 3.44-3.75
Cs 0.7204 0.1731 0.4426  7 Cl 3.64-3.83
Cs 0.3517 0.9746 0.1949  7 Cl 3.49-3.65
Cs 0.0254 0.6483 0.3051  7 Cl 3.49-3.65
Bi 0.7921 0.2079 0.7500  6 Cl 2.73-2.76
Bi 0.2079 0.7921 0.2500  6 Cl 2.73-2.76
Bi 0.5000 0.0000 0.5000  6 Cl 2.74-2.76
Bi 0.0000 0.5000 0.0000  6 Cl 2.74-2.76

[8]
Material: TlInGaSb
Method: DFT, PBE
State: relaxed

Energy relative to the elements, uncorrected (meV/atom): 101
Total energy (eV/atom): -2.962
Magnetic moment (Bohr magnetons per cell): 0.00

Cell lengths 5.3619, 5.3619, 5.3619 Å; angles 60.00, 60.00, 60.00 degrees
Last column: nearest neighbours and their distance in Å.
Sites, in units of the cell vectors:
Ga 0.2500 0.2500 0.2500  4 Tl 3.28, 4 Sb 3.28
Sb 0.5000 0.5000 0.5000  4 In 3.28, 4 Ga 3.28
Tl 0.0000 0.0000 0.0000  4 In 3.28, 4 Ga 3.28
In 0.7500 0.7500 0.7500  4 Sb 3.28, 4 Tl 3.28

[9]
Material: HfNbCrMo
Method: DFT, PBE
State: relaxed

Total energy (eV/atom): -10.076
Formation enthalpy at 0 K (eV/f.u.): 0.2
Magnetic moment (Bohr magnetons per cell): 1.73

Cell lengths 4.5777, 4.5777, 4.5777 Å; angles 60.00, 60.00, 60.00 degrees
Last column: nearest neighbours and their distance in Å.
Sites, in units of the cell vectors:
Mo 0.0000 0.0000 0.0000  4 Hf 2.80, 4 Nb 2.80
Hf 0.2500 0.2500 0.2500  4 Cr 2.80, 4 Mo 2.80
Cr 0.5000 0.5000 0.5000  4 Hf 2.80, 4 Nb 2.80
Nb 0.7500 0.7500 0.7500  4 Cr 2.80, 4 Mo 2.80

[10]
Material: Tb2HoTe2S2
Method: DFT, PBE
State: relaxed

Energy relative to the elements, uncorrected (meV/atom): -1366
Total energy (eV/atom): -5.420
Magnetic moment (Bohr magnetons per cell): 0.29

Cell lengths 5.0281, 5.0281, 8.5991 Å; angles 107.00, 107.00, 90.00 degrees
Last column: nearest neighbours and their distance in Å.
Sites, in units of the cell vectors:
S 0.5000 0.0000 0.0000  2 Ho 2.51
S 0.0000 0.5000 0.0000  2 Ho 2.51
Te 0.8108 0.8108 0.6217  1 Ho 2.96, 1 Tb 3.11
Te 0.1892 0.1892 0.3783  1 Ho 2.96, 1 Tb 3.11
Tb 0.3877 0.3877 0.7755  4 S 3.07, 1 Te 3.11
Tb 0.6123 0.6123 0.2245  4 S 3.07, 1 Te 3.11
Ho 0.0000 0.0000 0.0000  4 S 2.51

[11]
Material: SrBi2Pd
Method: DFT, PBE
State: relaxed

Total energy (eV/atom): -4.232
Formation enthalpy at 0 K (eV/f.u.): -2.3
Magnetic moment (Bohr magnetons per cell): 0.00

Cell lengths 4.9090, 10.1384, 11.0099 Å; angles 117.41, 102.88, 90.00 degrees
Last column: nearest neighbours and their distance in Å.
Sites, in units of the cell vectors:
Pd 0.1480 0.4033 0.2959  5 Bi 2.80-3.00
Pd 0.8520 0.1074 0.7041  5 Bi 2.80-3.00
Pd 0.8520 0.5967 0.7041  5 Bi 2.80-3.00
Pd 0.1480 0.8926 0.2959  5 Bi 2.80-3.00
Sr 0.5000 0.2579 0.0000  4 Pd 3.72, 10 Bi 3.78-3.90
Sr 0.5000 0.7421 0.0000  4 Pd 3.72, 10 Bi 3.78-3.90
Sr 0.7018 0.7018 0.4037  8 Bi 3.37-3.50, 4 Pd 3.64
Sr 0.2982 0.2982 0.5963  8 Bi 3.37-3.50, 4 Pd 3.64
Bi 0.6995 0.3619 0.3990  3 Pd 2.80-3.00
Bi 0.3005 0.6381 0.6010  3 Pd 2.80-3.00
Bi 0.0797 0.5797 0.1594  2 Pd 2.80, 1 Bi 3.02
Bi 0.6995 0.0371 0.3990  3 Pd 2.80-3.00
Bi 0.0813 0.0813 0.1627  2 Pd 2.88, 1 Bi 3.08
Bi 0.3005 0.9629 0.6010  3 Pd 2.80-3.00
Bi 0.9187 0.9187 0.8373  2 Pd 2.88, 1 Bi 3.08
Bi 0.9203 0.4203 0.8406  2 Pd 2.80, 1 Bi 3.02

[12]
Material: NdPdBr6
Method: DFT, PBE
State: relaxed

Energy relative to the elements, uncorrected (meV/atom): -928
Total energy (eV/atom): -3.427
Magnetic moment (Bohr magnetons per cell): 0.93

Cell lengths 6.7605, 7.0688, 7.2959 Å; angles 63.98, 62.35, 58.04 degrees
Last column: nearest neighbours and their distance in Å.
Sites, in units of the cell vectors:
Nd 0.5000 0.5000 0.5000  6 Br 2.87-2.96
Br 0.0759 0.4005 0.7562  1 Pd 2.78, 1 Nd 2.87
Br 0.9241 0.5995 0.2438  1 Pd 2.78, 1 Nd 2.87
Br 0.7767 0.0645 0.7667  1 Pd 2.52
Br 0.2233 0.9355 0.2333  1 Pd 2.52
Br 0.5969 0.2213 0.2381  1 Pd 2.52
Br 0.4031 0.7787 0.7619  1 Pd 2.52
Pd 0.0000 0.0000 0.0000  6 Br 2.52-2.78